## YZr2Ta (GGA-PBE)

Data for crystalline YZr2Ta at its relaxed geometry.

Output
DFT formation energy = 0.61 eV per formula unit

Cell lengths 3.6076, 3.6076, 7.3501 Å; angles 90.00, 90.00, 90.00 degrees
Sites, in units of the cell vectors:
Ta1 0.5000 0.5000 0.2500
Y1 0.5000 0.5000 0.7500
Zr1 0.0000 0.0000 0.0463
Zr2 0.0000 0.0000 0.4537